DFT (PBE) results for an optimized crystal structure of Sr2Li2Cd.

- SG = P4/mbm, No. 127
- calculated formation energy (meV per atom) = 107
- total magnetization (μB/f.u.) = 0.0

The structure in extended XYZ format:
```
10
Lattice="9.272 0.000 0.000 0.000 9.272 0.000 0.000 0.000 4.358" Properties=species:S:1:pos:R:3 pbc="T T T"
Sr 3.088 7.724 0.000
Sr 7.724 6.184 0.000
Sr 6.184 1.548 0.000
Sr 1.548 3.088 0.000
Li 1.153 5.789 2.179
Li 5.789 8.119 2.179
Li 8.119 3.483 2.179
Li 3.483 1.153 2.179
Cd 0.000 0.000 0.000
Cd 4.636 4.636 0.000
```